(w)
# Na2TcNiH6

An optimized crystal structure of Na2TcNiH6 (PBE-GGA, OQMD).

```
Na2TcNiH6
1.0
2.4814 1.4326 4.0489
-2.4814 1.4326 4.0489
0.0000 -2.8652 4.0489
Ni Na H Tc
1 2 6 1
Direct
0.4997 0.4997 0.4997 Ni
0.7498 0.7498 0.7498 Na
0.2497 0.2497 0.2497 Na
0.2607 0.7330 0.7459 H
0.7459 0.2607 0.7330 H
0.2532 0.7394 0.2669 H
0.2669 0.2532 0.7394 H
0.7330 0.7459 0.2607 H
0.7394 0.2669 0.2532 H
0.9997 0.9997 0.9997 Tc
```

Crystal system: trigonal
SG: R-3, No. 148

(x)
# Na2TcNiH6

An optimized crystal structure of Na2TcNiH6 (PBE-GGA, OQMD).

```
Na2TcNiH6
1.0
9.7575 0.0000 0.0000
0.0000 8.7302 0.0000
-0.0286 0.0000 4.6075
H Ni Na Tc
24 4 8 4
Direct
0.1374 0.8719 0.2497 H
0.6319 0.1434 0.4961 H
0.6339 0.6309 0.7581 H
0.1315 0.6448 0.4863 H
0.6319 0.8566 0.9961 H
0.6330 0.8601 0.5138 H
0.8626 0.6281 0.7503 H
0.8685 0.8552 0.5138 H
0.1315 0.6428 0.0034 H
0.3661 0.1309 0.7419 H
0.1315 0.3572 0.5034 H
0.6339 0.3691 0.2581 H
0.3681 0.6435 0.0038 H
0.3681 0.3565 0.5038 H
0.1315 0.3552 0.9863 H
0.8626 0.3719 0.2503 H
0.1374 0.1281 0.7497 H
0.8685 0.1448 0.0138 H
0.8685 0.8572 0.9965 H
0.8685 0.1428 0.4965 H
0.3661 0.8691 0.2419 H
0.6330 0.1399 0.0138 H
0.3671 0.6400 0.4863 H
0.3671 0.3600 0.9863 H
0.2493 0.4034 0.2453 Ni
0.7507 0.0965 0.7547 Ni
0.7507 0.9035 0.2547 Ni
0.2493 0.5966 0.7453 Ni
0.0728 0.1270 0.2488 Na
0.9272 0.6271 0.2512 Na
0.0728 0.8730 0.7488 Na
0.4273 0.1277 0.2451 Na
0.9272 0.3729 0.7512 Na
0.4273 0.8723 0.7451 Na
0.5727 0.3723 0.7549 Na
0.5727 0.6277 0.2549 Na
0.7498 0.2187 0.2551 Tc
0.2502 0.2813 0.7449 Tc
0.2502 0.7187 0.2449 Tc
0.7498 0.7813 0.7551 Tc
```

Crystal system: monoclinic
SG: P2_1/c, No. 14

Most stable structure: (x)